First-principles (PBE-GGA) data for Ni2Hg3 after structural relaxation, as listed in the Alexandria database.

Values from the calculation:
**SG**: P-3m1, No. 164
**Energy above the lowest structure with this stoichiometry**: 0 meV/atom
**Energy relative to the elements**: 0.1854 eV per atom
**VASP energy**: -2.31 eV per atom
**D(E_F)**: 0.486 states/eV per atom
**Crystal system**: trigonal

```
data_Ni2Hg3
_chemical_formula_sum 'Ni2 Hg3'
_cell_length_a 4.471
_cell_length_b 4.471
_cell_length_c 5.354
_cell_angle_alpha 90.00
_cell_angle_beta 90.00
_cell_angle_gamma 120.00
_space_group_name_H-M_alt 'P 1'
_space_group_IT_number 1
_space_group_name_Hall 'P 1'
loop_
_atom_site_label
_atom_site_fract_x
_atom_site_fract_y
_atom_site_fract_z
Ni1 0.667 0.333 0.134
Ni2 0.333 0.667 0.866
Hg1 0.000 0.000 0.000
Hg2 0.667 0.333 0.641
Hg3 0.333 0.667 0.359
```

---

First-principles (PBE-GGA) data for NiHg after structural relaxation, as listed in the Alexandria database.

Values from the calculation:
**SG**: P4/mmm, No. 123
**Energy relative to the elements**: 0.2168 eV per atom
**VASP energy**: -2.82 eV per atom
**D(E_F)**: 0.635 states/eV per atom
**Crystal system**: tetragonal

```
data_NiHg
_chemical_formula_sum 'Ni1 Hg1'
_cell_length_a 3.115
_cell_length_b 3.115
_cell_length_c 3.249
_cell_angle_alpha 90.00
_cell_angle_beta 90.00
_cell_angle_gamma 90.00
_space_group_name_H-M_alt 'P 1'
_space_group_IT_number 1
_space_group_name_Hall 'P 1'
loop_
_atom_site_label
_atom_site_fract_x
_atom_site_fract_y
_atom_site_fract_z
Ni1 0.500 0.500 0.500
Hg1 0.000 0.000 0.000
```

---

First-principles (PBE-GGA) data for NiHg3 after structural relaxation, as listed in the Alexandria database.

Values from the calculation:
**SG**: Pm-3m, No. 221
**Energy above the lowest structure with this stoichiometry**: 210 meV/atom
**Energy relative to the elements**: 0.3381 eV per atom
**VASP energy**: -1.33 eV per atom
**D(E_F)**: 0.725 states/eV per atom
**Crystal system**: cubic

```
data_NiHg3
_chemical_formula_sum 'Ni1 Hg3'
_cell_length_a 4.273
_cell_length_b 4.273
_cell_length_c 4.273
_cell_angle_alpha 90.00
_cell_angle_beta 90.00
_cell_angle_gamma 90.00
_space_group_name_H-M_alt 'P 1'
_space_group_IT_number 1
_space_group_name_Hall 'P 1'
loop_
_atom_site_label
_atom_site_fract_x
_atom_site_fract_y
_atom_site_fract_z
Hg1 0.000 0.000 0.000
Hg2 0.000 0.500 0.500
Hg3 0.500 0.000 0.500
Ni1 0.500 0.500 0.000
```

---

> Which formula does entry 3 have?

NiHg3

---

Please write out number 1 again, unchanged.
First-principles (PBE-GGA) data for Ni2Hg3 after structural relaxation, as listed in the Alexandria database.

Values from the calculation:
**SG**: P-3m1, No. 164
**Energy above the lowest structure with this stoichiometry**: 0 meV/atom
**Energy relative to the elements**: 0.1854 eV per atom
**VASP energy**: -2.31 eV per atom
**D(E_F)**: 0.486 states/eV per atom
**Crystal system**: trigonal

```
data_Ni2Hg3
_chemical_formula_sum 'Ni2 Hg3'
_cell_length_a 4.471
_cell_length_b 4.471
_cell_length_c 5.354
_cell_angle_alpha 90.00
_cell_angle_beta 90.00
_cell_angle_gamma 120.00
_space_group_name_H-M_alt 'P 1'
_space_group_IT_number 1
_space_group_name_Hall 'P 1'
loop_
_atom_site_label
_atom_site_fract_x
_atom_site_fract_y
_atom_site_fract_z
Ni1 0.667 0.333 0.134
Ni2 0.333 0.667 0.866
Hg1 0.000 0.000 0.000
Hg2 0.667 0.333 0.641
Hg3 0.333 0.667 0.359
```